First-principles (PBE-GGA) data for a relaxed Ba3SrMg crystal, as listed in Alexandria.

Calculated values
Formation enthalpy at 0 K in eV per atom: 0.1884
Total DFT energy (no corrections) in hartree per atom: -0.0596
Crystal system: cubic
Magnetization in μB/f.u.: 0.00
Polymorph energy (0 for the lowest one) in meV/atom: 193

Cell: 6.8296 6.8296 6.8296 Å, 90.00 90.00 90.00°
Space group Pm-3m (No. 221)
Inequivalent atoms, fractional coordinates:
Ba: 0.0000 0.0000 0.5000 [3 per cell]
Sr: 0.5000 0.5000 0.5000 [1 per cell]
Mg: 0.0000 0.0000 0.0000 [1 per cell]


First-principles (PBE-GGA) data for a relaxed Ba2Sr3Mg2 crystal, as listed in Alexandria.

Calculated values
Formation enthalpy at 0 K in eV per atom: -0.0047
Total DFT energy (no corrections) in hartree per atom: -0.0636
Crystal system: orthorhombic
Magnetization in μB/f.u.: 0.00

Cell: 4.2958 36.9697 4.2410 Å, 90.00 90.00 90.00°
Space group Cmmm (No. 65)
Inequivalent atoms, fractional coordinates:
Ba: 0.0000 0.1963 0.0000 [4 per cell]
Sr: 0.0000 0.0824 0.0000 [4 per cell]
Sr: 0.0000 0.5000 0.5000 [2 per cell]
Mg: 0.0000 0.3639 0.5000 [4 per cell]


First-principles (PBE-GGA) data for a relaxed Ba2SrMg crystal, as listed in Alexandria.

Calculated values
Formation enthalpy at 0 K in eV per atom: 0.0683
Total DFT energy (no corrections) in hartree per atom: -0.0629
Crystal system: monoclinic
Magnetization in μB/f.u.: 0.00

Cell: 4.4049 5.9312 8.1659 Å, 90.00 105.48 90.00°
Space group Pm (No. 6)
Inequivalent atoms, fractional coordinates:
Ba: 0.0000 0.0000 0.0000 [1 per cell]
Ba: 0.3489 0.5000 0.6895 [1 per cell]
Sr: 0.7291 0.0000 0.4455 [1 per cell]
Mg: 0.5834 0.5000 0.1840 [1 per cell]


First-principles (PBE-GGA) data for a relaxed Ba2SrMg crystal, as listed in Alexandria.

Calculated values
Formation enthalpy at 0 K in eV per atom: 0.0430
Total DFT energy (no corrections) in hartree per atom: -0.0639
Crystal system: tetragonal
Magnetization in μB/f.u.: 0.00

Cell: 6.4278 6.4278 4.7947 Å, 90.00 90.00 90.00°
Space group P4/mmm (No. 123)
Inequivalent atoms, fractional coordinates:
Ba: 0.0000 0.5000 0.0000 [2 per cell]
Sr: 0.0000 0.0000 0.5000 [1 per cell]
Mg: 0.5000 0.5000 0.5000 [1 per cell]


First-principles (PBE-GGA) data for a relaxed Ba2SrMg2 crystal, as listed in Alexandria.

Calculated values
Formation enthalpy at 0 K in eV per atom: 0.0012
Total DFT energy (no corrections) in hartree per atom: -0.0640
Crystal system: tetragonal
Magnetization in μB/f.u.: 0.00
Polymorph energy (0 for the lowest one) in meV/atom: 13

Cell: 9.8308 9.8308 4.8185 Å, 90.00 90.00 90.00°
Space group P4/mbm (No. 127)
Inequivalent atoms, fractional coordinates:
Ba: 0.1650 0.3350 0.0000 [4 per cell]
Sr: 0.0000 0.0000 0.5000 [2 per cell]
Mg: 0.1239 0.6239 0.5000 [4 per cell]


First-principles (PBE-GGA) data for a relaxed Ba2Sr8Mg crystal, as listed in Alexandria.

Calculated values
Formation enthalpy at 0 K in eV per atom: 0.0468
Total DFT energy (no corrections) in hartree per atom: -0.0614
Crystal system: tetragonal
Magnetization in μB/f.u.: 0.02
Polymorph energy (0 for the lowest one) in meV/atom: 19

Cell: 6.0529 6.0529 16.5458 Å, 90.00 90.00 90.00°
Space group P4/mmm (No. 123)
Inequivalent atoms, fractional coordinates:
Ba: 0.0000 0.0000 0.1906 [2 per cell]
Sr: 0.0000 0.5000 0.0000 [2 per cell]
Sr: 0.0000 0.5000 0.3776 [4 per cell]
Sr: 0.5000 0.5000 0.1865 [2 per cell]
Mg: 0.0000 0.0000 0.5000 [1 per cell]


First-principles (PBE-GGA) data for a relaxed BaSr5Mg crystal, as listed in Alexandria.

Calculated values
Formation enthalpy at 0 K in eV per atom: 0.0745
Total DFT energy (no corrections) in hartree per atom: -0.0599
Crystal system: tetragonal
Magnetization in μB/f.u.: 0.00

Cell: 6.0180 6.0180 10.4603 Å, 90.00 90.00 90.00°
Space group P4/mmm (No. 123)
Inequivalent atoms, fractional coordinates:
Ba: 0.0000 0.0000 0.0000 [1 per cell]
Sr: 0.0000 0.5000 0.3040 [4 per cell]
Sr: 0.5000 0.5000 0.0000 [1 per cell]
Mg: 0.5000 0.5000 0.5000 [1 per cell]


First-principles (PBE-GGA) data for a relaxed Ba2SrMg crystal, as listed in Alexandria.

Calculated values
Formation enthalpy at 0 K in eV per atom: 0.0842
Total DFT energy (no corrections) in hartree per atom: -0.0623
Crystal system: trigonal
Magnetization in μB/f.u.: 0.02

Cell: 4.2963 4.2963 38.9937 Å, 90.00 90.00 120.00°
Space group R-3m (No. 166, hexagonal axes)
Inequivalent atoms, fractional coordinates:
Ba: 0.0000 0.0000 0.2388 [6 per cell]
Sr: 0.0000 0.0000 0.0000 [3 per cell]
Mg: 0.0000 0.0000 0.5000 [3 per cell]


First-principles (PBE-GGA) data for a relaxed Ba2SrMg crystal, as listed in Alexandria.

Calculated values
Formation enthalpy at 0 K in eV per atom: -0.0114
Total DFT energy (no corrections) in hartree per atom: -0.0659
Crystal system: tetragonal
Magnetization in μB/f.u.: 0.00

Cell: 4.3289 4.3289 10.8298 Å, 90.00 90.00 90.00°
Space group P4mm (No. 99)
Inequivalent atoms, fractional coordinates:
Ba: 0.0000 0.0000 0.0000 [1 per cell]
Ba: 0.5000 0.5000 0.3200 [1 per cell]
Sr: 0.5000 0.5000 0.7042 [1 per cell]
Mg: 0.0000 0.0000 0.5245 [1 per cell]


First-principles (PBE-GGA) data for a relaxed Ba2SrMg2 crystal, as listed in Alexandria.

Calculated values
Formation enthalpy at 0 K in eV per atom: 0.1141
Total DFT energy (no corrections) in hartree per atom: -0.0599
Crystal system: tetragonal
Magnetization in μB/f.u.: 0.00
Polymorph energy (0 for the lowest one) in meV/atom: 126

Cell: 4.3618 4.3618 25.4509 Å, 90.00 90.00 90.00°
Space group I4/mmm (No. 139)
Inequivalent atoms, fractional coordinates:
Ba: 0.0000 0.0000 0.1284 [4 per cell]
Sr: 0.0000 0.0000 0.5000 [2 per cell]
Mg: 0.0000 0.5000 0.2500 [4 per cell]


First-principles (PBE-GGA) data for a relaxed Ba2Sr2Mg3 crystal, as listed in Alexandria.

Calculated values
Formation enthalpy at 0 K in eV per atom: 0.0152
Total DFT energy (no corrections) in hartree per atom: -0.0624
Crystal system: monoclinic
Magnetization in μB/f.u.: 0.00

Cell: 10.6011 6.1045 10.2472 Å, 90.00 110.28 90.00°
Space group C2/m (No. 12)
Inequivalent atoms, fractional coordinates:
Ba: 0.1196 0.0000 0.3594 [4 per cell]
Sr: 0.1273 0.5000 0.8812 [4 per cell]
Mg: 0.0000 0.5000 0.5000 [2 per cell]
Mg: 0.2473 0.0000 0.7413 [4 per cell]


First-principles (PBE-GGA) data for a relaxed Ba3SrMg4 crystal, as listed in Alexandria.

Calculated values
Formation enthalpy at 0 K in eV per atom: -0.0555
Total DFT energy (no corrections) in hartree per atom: -0.0656
Crystal system: tetragonal
Magnetization in μB/f.u.: 0.00

Cell: 4.3366 4.3366 17.1582 Å, 90.00 90.00 90.00°
Space group P4/mmm (No. 123)
Inequivalent atoms, fractional coordinates:
Ba: 0.0000 0.0000 0.0000 [1 per cell]
Ba: 0.0000 0.0000 0.2565 [2 per cell]
Sr: 0.0000 0.0000 0.5000 [1 per cell]
Mg: 0.5000 0.5000 0.1281 [2 per cell]
Mg: 0.5000 0.5000 0.3854 [2 per cell]


First-principles (PBE-GGA) data for a relaxed Ba2SrMg crystal, as listed in Alexandria.

Calculated values
Formation enthalpy at 0 K in eV per atom: 0.0585
Total DFT energy (no corrections) in hartree per atom: -0.0633
Crystal system: orthorhombic
Magnetization in μB/f.u.: 0.00

Cell: 5.2811 6.0474 6.1303 Å, 90.00 90.00 90.00°
Space group Pmmm (No. 47)
Inequivalent atoms, fractional coordinates:
Ba: 0.0000 0.0000 0.0000 [1 per cell]
Ba: 0.5000 0.0000 0.5000 [1 per cell]
Sr: 0.0000 0.5000 0.5000 [1 per cell]
Mg: 0.5000 0.5000 0.0000 [1 per cell]


First-principles (PBE-GGA) data for a relaxed Ba2SrMg2 crystal, as listed in Alexandria.

Calculated values
Formation enthalpy at 0 K in eV per atom: 0.0597
Total DFT energy (no corrections) in hartree per atom: -0.0619
Crystal system: monoclinic
Magnetization in μB/f.u.: 0.00
Polymorph energy (0 for the lowest one) in meV/atom: 72

Cell: 7.0475 4.9780 14.0974 Å, 90.00 95.91 90.00°
Space group P2_1/m (No. 11)
Inequivalent atoms, fractional coordinates:
Ba: 0.0908 0.2500 0.3736 [2 per cell]
Ba: 0.2576 0.2500 0.0516 [2 per cell]
Sr: 0.4291 0.2500 0.7129 [2 per cell]
Mg: 0.2222 0.7500 0.8545 [2 per cell]
Mg: 0.3901 0.7500 0.5272 [2 per cell]


First-principles (PBE-GGA) data for a relaxed BaSr4Mg2 crystal, as listed in Alexandria.

Calculated values
Formation enthalpy at 0 K in eV per atom: 0.0622
Total DFT energy (no corrections) in hartree per atom: -0.0599
Crystal system: orthorhombic
Magnetization in μB/f.u.: 0.00

Cell: 5.6768 21.1771 5.7006 Å, 90.00 90.00 90.00°
Space group Cmmm (No. 65)
Inequivalent atoms, fractional coordinates:
Ba: 0.0000 0.0000 0.0000 [2 per cell]
Sr: 0.0000 0.1739 0.5000 [4 per cell]
Sr: 0.0000 0.3268 0.0000 [4 per cell]
Mg: 0.0000 0.4307 0.5000 [4 per cell]


First-principles (PBE-GGA) data for a relaxed BaSr3Mg crystal, as listed in Alexandria.

Calculated values
Formation enthalpy at 0 K in eV per atom: 0.8412
Total DFT energy (no corrections) in hartree per atom: -0.0320
Crystal system: cubic
Magnetization in μB/f.u.: 2.75
Polymorph energy (0 for the lowest one) in meV/atom: 834

Cell: 6.6922 6.6922 6.6922 Å, 90.00 90.00 90.00°
Space group Pm-3m (No. 221)
Inequivalent atoms, fractional coordinates:
Ba: 0.0000 0.0000 0.0000 [1 per cell]
Sr: 0.0000 0.0000 0.5000 [3 per cell]
Mg: 0.5000 0.5000 0.5000 [1 per cell]


First-principles (PBE-GGA) data for a relaxed Ba2Sr2Mg crystal, as listed in Alexandria.

Calculated values
Formation enthalpy at 0 K in eV per atom: -0.0193
Total DFT energy (no corrections) in hartree per atom: -0.0654
Crystal system: tetragonal
Magnetization in μB/f.u.: 0.00
Polymorph energy (0 for the lowest one) in meV/atom: 0

Cell: 4.3724 4.3724 27.0443 Å, 90.00 90.00 90.00°
Space group I4/mmm (No. 139)
Inequivalent atoms, fractional coordinates:
Ba: 0.0000 0.0000 0.0788 [4 per cell]
Sr: 0.0000 0.0000 0.3042 [4 per cell]
Mg: 0.0000 0.0000 0.5000 [2 per cell]


First-principles (PBE-GGA) data for a relaxed BaSr3Mg2 crystal, as listed in Alexandria.

Calculated values
Formation enthalpy at 0 K in eV per atom: -0.0274
Total DFT energy (no corrections) in hartree per atom: -0.0632
Crystal system: tetragonal
Magnetization in μB/f.u.: 0.00

Cell: 4.2330 4.2330 14.8170 Å, 90.00 90.00 90.00°
Space group P4/mmm (No. 123)
Inequivalent atoms, fractional coordinates:
Ba: 0.0000 0.0000 0.0000 [1 per cell]
Sr: 0.5000 0.5000 0.2219 [2 per cell]
Sr: 0.5000 0.5000 0.5000 [1 per cell]
Mg: 0.0000 0.0000 0.3607 [2 per cell]


First-principles (PBE-GGA) data for a relaxed BaSr3Mg crystal, as listed in Alexandria.

Calculated values
Formation enthalpy at 0 K in eV per atom: 0.0536
Total DFT energy (no corrections) in hartree per atom: -0.0610
Crystal system: cubic
Magnetization in μB/f.u.: 0.00
Polymorph energy (0 for the lowest one) in meV/atom: 47

Cell: 9.0605 9.0605 9.0605 Å, 90.00 90.00 90.00°
Space group Pm-3m (No. 221)
Inequivalent atoms, fractional coordinates:
Ba: 0.0000 0.0000 0.5000 [3 per cell]
Sr: 0.0000 0.0000 0.0000 [1 per cell]
Sr: 0.2759 0.2759 0.2759 [8 per cell]
Mg: 0.0000 0.5000 0.5000 [3 per cell]


First-principles (PBE-GGA) data for a relaxed BaSr2Mg2 crystal, as listed in Alexandria.

Calculated values
Formation enthalpy at 0 K in eV per atom: 0.0331
Total DFT energy (no corrections) in hartree per atom: -0.0611
Crystal system: monoclinic
Magnetization in μB/f.u.: 0.00
Polymorph energy (0 for the lowest one) in meV/atom: 55

Cell: 15.7822 4.1490 7.0482 Å, 90.00 102.63 90.00°
Space group C2/m (No. 12)
Inequivalent atoms, fractional coordinates:
Ba: 0.0000 0.0000 0.0000 [2 per cell]
Sr: 0.1382 0.5000 0.5699 [4 per cell]
Mg: 0.2036 0.5000 0.1042 [4 per cell]


First-principles (PBE-GGA) data for a relaxed Ba2SrMg crystal, as listed in Alexandria.

Calculated values
Formation enthalpy at 0 K in eV per atom: 0.0155
Total DFT energy (no corrections) in hartree per atom: -0.0649
Crystal system: monoclinic
Magnetization in μB/f.u.: 0.00

Cell: 15.1074 4.4907 6.6217 Å, 90.00 115.88 90.00°
Space group Cm (No. 8)
Inequivalent atoms, fractional coordinates:
Ba: 0.0000 0.0000 0.0000 [2 per cell]
Ba: 0.2080 0.0000 0.7079 [2 per cell]
Sr: 0.2867 0.5000 0.2864 [2 per cell]
Mg: 0.4933 0.0000 0.4932 [2 per cell]


First-principles (PBE-GGA) data for a relaxed Ba8Sr2Mg crystal, as listed in Alexandria.

Calculated values
Formation enthalpy at 0 K in eV per atom: 0.0276
Total DFT energy (no corrections) in hartree per atom: -0.0669
Crystal system: monoclinic
Magnetization in μB/f.u.: 0.00
Polymorph energy (0 for the lowest one) in meV/atom: 8

Cell: 22.4774 6.7047 8.3760 Å, 90.00 93.78 90.00°
Space group C2/m (No. 12)
Inequivalent atoms, fractional coordinates:
Ba: 0.0364 0.0000 0.2575 [4 per cell]
Ba: 0.0874 0.5000 0.9151 [4 per cell]
Ba: 0.1492 0.0000 0.6819 [4 per cell]
Ba: 0.1655 0.5000 0.4068 [4 per cell]
Sr: 0.2245 0.0000 0.1459 [4 per cell]
Mg: 0.0000 0.5000 0.5000 [2 per cell]


First-principles (PBE-GGA) data for a relaxed Ba2SrMg crystal, as listed in Alexandria.

Calculated values
Formation enthalpy at 0 K in eV per atom: 0.0846
Total DFT energy (no corrections) in hartree per atom: -0.0623
Crystal system: trigonal
Magnetization in μB/f.u.: 0.00

Cell: 4.2922 4.2922 39.1062 Å, 90.00 90.00 120.00°
Space group R3m (No. 160, hexagonal axes)
Inequivalent atoms, fractional coordinates:
Ba: 0.0000 0.0000 0.0000 [3 per cell]
Ba: 0.0000 0.0000 0.1885 [3 per cell]
Sr: 0.0000 0.0000 0.7608 [3 per cell]
Mg: 0.0000 0.0000 0.5940 [3 per cell]


First-principles (PBE-GGA) data for a relaxed Ba2SrMg crystal, as listed in Alexandria.

Calculated values
Formation enthalpy at 0 K in eV per atom: 0.0541
Total DFT energy (no corrections) in hartree per atom: -0.0634
Crystal system: cubic
Magnetization in μB/f.u.: 0.00

Cell: 9.1073 9.1073 9.1073 Å, 90.00 90.00 90.00°
Space group F-43m (No. 216)
Inequivalent atoms, fractional coordinates:
Ba: 0.0000 0.0000 0.0000 [4 per cell]
Ba: 0.2500 0.2500 0.2500 [4 per cell]
Sr: 0.2500 0.2500 0.7500 [4 per cell]
Mg: 0.0000 0.0000 0.5000 [4 per cell]


First-principles (PBE-GGA) data for a relaxed Ba2Sr6Mg crystal, as listed in Alexandria.

Calculated values
Formation enthalpy at 0 K in eV per atom: 0.0583
Total DFT energy (no corrections) in hartree per atom: -0.0613
Crystal system: orthorhombic
Magnetization in μB/f.u.: 0.00

Cell: 4.2576 12.4562 18.3734 Å, 90.00 90.00 90.00°
Space group Immm (No. 71)
Inequivalent atoms, fractional coordinates:
Ba: 0.0000 0.0000 0.1336 [4 per cell]
Sr: 0.0000 0.2535 0.5000 [4 per cell]
Sr: 0.0000 0.3439 0.1779 [8 per cell]
Mg: 0.0000 0.5000 0.0000 [2 per cell]


First-principles (PBE-GGA) data for a relaxed Ba5SrMg4 crystal, as listed in Alexandria.

Calculated values
Formation enthalpy at 0 K in eV per atom: -0.0444
Total DFT energy (no corrections) in hartree per atom: -0.0666
Crystal system: tetragonal
Magnetization in μB/f.u.: 0.00

Cell: 4.3850 4.3850 23.5712 Å, 90.00 90.00 90.00°
Space group P4/mmm (No. 123)
Inequivalent atoms, fractional coordinates:
Ba: 0.0000 0.0000 0.0000 [1 per cell]
Ba: 0.0000 0.0000 0.1850 [2 per cell]
Ba: 0.0000 0.0000 0.3676 [2 per cell]
Sr: 0.5000 0.5000 0.5000 [1 per cell]
Mg: 0.5000 0.5000 0.0916 [2 per cell]
Mg: 0.5000 0.5000 0.2782 [2 per cell]